A plane-wave DFT calculation with PBE-GGA was carried out for V3ZnCd after structural relaxation.

Cell: 5.032 5.032 5.032 Å, 90.00 90.00 90.00°
Each line ends with the local moment (μB).
Atoms (fractional coordinates):
Cd (0.000, 0.000, 0.000)  0.11
V (0.000, 0.500, 0.000)  2.65
V (0.500, 0.000, 0.000)  2.65
V (0.000, 0.000, 0.500)  2.65
Zn (0.500, 0.500, 0.500)  -0.01

The formation energy from the elements comes out at 1.79 eV per atom. The energy above the most stable polymorph in this dataset comes out at 3.10 eV/f.u. The total energy is -20.58 eV/f.u. The calculation puts the magnetic moment at 10.03 μB/cell.